Computed, not measured: a relaxed BiSbTe2 crystal at the PBE level of DFT.

Unit cell a=8.863 b=8.863 c=8.863 alpha=27.24 beta=27.24 gamma=27.24
Fractional positions:
Bi  0.000  0.000  0.000
Sb  0.169  0.169  0.169
Te  0.580  0.580  0.580
Te  0.756  0.756  0.756

raw total energy: -3.563 eV/atom
excess energy over the best structure of this formula in the dataset: 140 meV per atom
density: 7.56 Mg/m³
N(E_F): 0.516 states/eV per atom
space group: No. 160